A plane-wave DFT calculation with PBE+U was carried out for a relaxed structure of K2MnSbO6.

```
K2MnSbO6
1.0
-2.8097 2.8097 3.9695
2.8097 -2.8097 3.9695
2.8097 2.8097 -3.9695
K Mn Sb O
2 1 1 6
direct
0.2500 0.7500 0.5000 K
0.7500 0.2500 0.5000 K
0.0000 0.0000 0.0000 Mn
0.5000 0.5000 0.0000 Sb
0.2467 0.2467 0.0000 O
0.2473 0.2473 0.4945 O
0.2473 0.7527 0.0000 O
0.7527 0.2473 0.0000 O
0.7533 0.7533 0.0000 O
0.7527 0.7527 0.5055 O
```

Properties
E_tot = -5.62 eV/atom
space-group type = I4/mmm, No. 139
density of states at the Fermi level = 5.81 states/eV/f.u.